Record 1
# PBE-GGA CeAl3Au, relaxed
# **Formation energy from the elements**: -0.58 eV/atom
# **Offset from the most stable computed form**: 0.00 eV/f.u.
data_CeAl3Au
_chemical_formula_sum 'Ce2 Al6 Au2'
_cell_length_a 4.325
_cell_length_b 4.325
_cell_length_c 10.903
_cell_angle_alpha 90.00
_cell_angle_beta 90.00
_cell_angle_gamma 90.00
_space_group_name_H-M_alt 'I 4 m m'
_space_group_IT_number 107
_space_group_name_Hall 'I 4 -2'
loop_
_atom_site_label
_atom_site_type_symbol
_atom_site_fract_x
_atom_site_fract_y
_atom_site_fract_z
Ce1 Ce 0.000 0.000 0.000
Al1 Al 0.000 0.000 0.410
Al2 Al 0.000 0.500 0.263
Au1 Au 0.000 0.000 0.638



Record 2
# PBE-GGA Pr6ZnS2Br3, relaxed
# **Formation energy from raw total energies**: -1.3412 eV per atom
data_Pr6ZnS2Br3
_chemical_formula_sum 'Pr12 Zn2 S4 Br6'
_cell_length_a 7.073
_cell_length_b 12.258
_cell_length_c 8.080
_cell_angle_alpha 90.00
_cell_angle_beta 106.93
_cell_angle_gamma 90.00
_space_group_name_H-M_alt 'C 1 2/m 1'
_space_group_IT_number 12
loop_
_space_group_symop_operation_xyz
'x,y,z'
'-x,-y,-z'
'-x,y,-z'
'x,-y,z'
'x+1/2,y+1/2,z'
'-x+1/2,-y+1/2,-z'
'-x+1/2,y+1/2,-z'
'x+1/2,-y+1/2,z'
loop_
_atom_site_label
_atom_site_type_symbol
_atom_site_fract_x
_atom_site_fract_y
_atom_site_fract_z
Pr1 Pr 0.224 0.000 0.207
Pr2 Pr 0.242 0.327 0.208
Zn1 Zn 0.000 0.500 0.000
S1 S 0.000 0.167 0.000
Br1 Br 0.000 0.000 0.500
Br2 Br 0.000 0.338 0.500



Record 3
# PBE-GGA La2PmGe3, relaxed
# **Formation energy from the elements**: -0.64 eV/atom
data_La2PmGe3
_chemical_formula_sum 'La4 Pm2 Ge6'
_cell_length_a 4.379
_cell_length_b 6.173
_cell_length_c 13.060
_cell_angle_alpha 90.00
_cell_angle_beta 90.00
_cell_angle_gamma 90.00
_space_group_name_H-M_alt 'I m m m'
_space_group_IT_number 71
_space_group_name_Hall '-I 2 2'
loop_
_atom_site_label
_atom_site_type_symbol
_atom_site_fract_x
_atom_site_fract_y
_atom_site_fract_z
La1 La 0.000 0.000 0.169
Pm1 Pm 0.000 0.000 0.500
Ge1 Ge 0.000 0.500 0.159
Ge2 Ge 0.000 0.500 0.500



no.,E_tot (Ha/atom)
1,-0.1715
2,-0.1817
3,-0.1979